1.
VASP calculation (PBE) on crystalline SrBe2Cr at its relaxed geometry.

The value obtained for the total magnetization is 7.640 Bohr magnetons per cell. The value obtained for the volume is 21.39 A^3/atom. Its crystal system is tetragonal. The relative energy among the computed polymorphs is 132 kJ/mol of formula units. The calculation puts the density of states at the Fermi level at 0.425 states/eV/atom. The value obtained for the formation energy is 686.6 meV per atom. Its space-group type is I4_1/amd, No. 141.

Structure (POSCAR):
```
SrBe2Cr
1.0
4.508 0.000 0.000
0.000 4.508 0.000
2.254 2.254 8.419
Sr Be Cr
2 4 2
Cartesian
0.000 0.000 0.000
4.508 2.254 4.210
2.253 1.127 2.105
2.255 3.381 2.105
3.381 4.509 6.315
5.635 4.507 6.315
2.254 2.254 0.000
2.254 4.508 4.210
```

---

2.
VASP calculation (PBE) on crystalline Sr2BeCr at its relaxed geometry.

The value obtained for the total magnetization is 0.007 Bohr magnetons per cell. The value obtained for the volume is 25.00 A^3/atom. Its crystal system is tetragonal. The calculation puts the density of states at the Fermi level at 1.296 states/eV/atom. The value obtained for the formation energy is 1616.3 meV per atom. Its space-group type is I-42d, No. 122.

Structure (POSCAR):
```
Sr2BeCr
1.0
4.398 0.000 0.000
0.000 4.398 0.000
2.199 2.199 10.339
Sr Be Cr
4 2 2
Cartesian
3.294 1.099 2.585
1.104 3.298 2.585
3.298 3.303 7.754
5.497 5.493 7.754
2.199 2.199 0.000
2.199 4.398 5.170
0.000 0.000 0.000
4.398 2.199 5.170
```

---

3.
VASP calculation (PBE) on crystalline SrBe2Cr at its relaxed geometry.

The value obtained for the total magnetization is 0.005 Bohr magnetons per cell. The value obtained for the volume is 16.44 A^3/atom. Its crystal system is cubic. The relative energy among the computed polymorphs is 300 kJ/mol of formula units. The calculation puts the density of states at the Fermi level at 1.542 states/eV/atom. The value obtained for the formation energy is 1123.7 meV per atom. Its space-group type is Fm-3m, No. 225.

Structure (POSCAR):
```
SrBe2Cr
1.0
0.000 3.203 3.203
3.203 0.000 3.203
3.203 3.203 0.000
Sr Be Cr
1 2 1
Cartesian
3.203 3.203 3.203
1.602 1.602 1.602
4.805 4.805 4.805
0.000 0.000 0.000
```

---

4.
VASP calculation (PBE) on crystalline SrBe2Cr at its relaxed geometry.

The value obtained for the total magnetization is 0.094 Bohr magnetons per cell. The value obtained for the volume is 15.67 A^3/atom. Its crystal system is monoclinic. The relative energy among the computed polymorphs is 350 kJ/mol of formula units. The calculation puts the density of states at the Fermi level at 0.769 states/eV/atom. The value obtained for the formation energy is 1252.8 meV per atom. Its space-group type is P2/m, No. 10.

Structure (POSCAR):
```
SrBe2Cr
1.0
-2.450 -0.752 0.479
-0.696 -1.702 -6.234
0.822 -4.333 -2.596
Sr Be Cr
1 2 1
Cartesian
0.411 -2.166 -1.298
0.000 0.000 0.000
-1.573 -1.227 -2.878
-1.163 -3.393 -4.175
```

---

5.
VASP calculation (PBE) on crystalline SrBeCr at its relaxed geometry.

The value obtained for the total magnetization is 2.996 Bohr magnetons per cell. The value obtained for the volume is 20.15 A^3/atom. Its crystal system is tetragonal. The relative energy among the computed polymorphs is 0 kJ/mol of formula units. The calculation puts the density of states at the Fermi level at 0.696 states/eV/atom. The value obtained for the formation energy is 643.3 meV per atom. Its space-group type is I4mm, No. 107.

Structure (POSCAR):
```
SrBeCr
1.0
-1.612 1.584 -5.560
2.086 -1.279 -5.480
-1.666 -2.001 5.407
Sr Be Cr
1 1 1
Cartesian
0.160 0.103 -3.716
0.024 0.016 -0.565
0.290 0.187 -6.758
```

---

6.
VASP calculation (PBE) on crystalline SrBe2Cr at its relaxed geometry.

The value obtained for the total magnetization is 3.943 Bohr magnetons per cell. The value obtained for the volume is 18.07 A^3/atom. Its crystal system is cubic. The relative energy among the computed polymorphs is 221 kJ/mol of formula units. The calculation puts the density of states at the Fermi level at 0.456 states/eV/atom. The value obtained for the formation energy is 916.5 meV per atom. Its space-group type is F-43m, No. 216.

Structure (POSCAR):
```
SrBe2Cr
1.0
4.596 -0.868 0.000
0.875 4.595 0.000
-2.735 -1.863 3.305
Sr Be Cr
1 2 1
Cartesian
2.298 -0.434 1.653
0.000 0.000 0.000
0.437 2.297 1.653
2.735 1.863 0.000
```

---

7.
VASP calculation (PBE) on crystalline Sr2YBeCr at its relaxed geometry.

The value obtained for the total magnetization is 3.842 Bohr magnetons per cell. The value obtained for the volume is 39.88 A^3/atom. Its crystal system is tetragonal. The calculation puts the density of states at the Fermi level at 1.063 states/eV/atom. The value obtained for the formation energy is 1398.0 meV per atom. Its space-group type is P4/mmm, No. 123.

Structure (POSCAR):
```
Sr2YBeCr
1.0
-0.588 2.840 -5.717
-2.098 -4.001 -1.772
-5.751 2.256 1.712
Y Sr Be Cr
1 2 1 1
Cartesian
0.000 0.000 0.000
-2.875 1.128 0.856
-0.294 1.420 -2.858
-1.049 -2.001 -0.886
-4.218 0.548 -2.888
```

---

8.
VASP calculation (PBE) on crystalline SrBeZn2Cr at its relaxed geometry.

The value obtained for the total magnetization is 4.070 Bohr magnetons per cell. The value obtained for the volume is 19.46 A^3/atom. Its crystal system is tetragonal. The calculation puts the density of states at the Fermi level at 0.454 states/eV/atom. The value obtained for the formation energy is 294.4 meV per atom. Its space-group type is P4/mmm, No. 123.

Structure (POSCAR):
```
SrBeZn2Cr
1.0
-1.218 -4.357 0.093
4.430 -1.213 1.212
-1.088 0.397 4.375
Sr Zn Be Cr
1 2 1 1
Cartesian
1.062 -2.586 2.840
-0.544 0.199 2.187
-0.609 -2.179 0.046
0.000 0.000 0.000
2.215 -0.606 0.606
```

---

Repeat the second record exactly.
VASP calculation (PBE) on crystalline Sr2BeCr at its relaxed geometry.

The value obtained for the total magnetization is 0.007 Bohr magnetons per cell. The value obtained for the volume is 25.00 A^3/atom. Its crystal system is tetragonal. The calculation puts the density of states at the Fermi level at 1.296 states/eV/atom. The value obtained for the formation energy is 1616.3 meV per atom. Its space-group type is I-42d, No. 122.

Structure (POSCAR):
```
Sr2BeCr
1.0
4.398 0.000 0.000
0.000 4.398 0.000
2.199 2.199 10.339
Sr Be Cr
4 2 2
Cartesian
3.294 1.099 2.585
1.104 3.298 2.585
3.298 3.303 7.754
5.497 5.493 7.754
2.199 2.199 0.000
2.199 4.398 5.170
0.000 0.000 0.000
4.398 2.199 5.170
```

---

Question: What is the density of states at the Fermi level in the sixth record?
Answer: 0.456 states/eV/atom